{"formula": "Cs2AlCrO4", "functional": "PBE+U", "state": "optimized geometry", "lattice": [[5.248, 0.000, 0.000], [2.624, 6.298, 0.000], [2.624, 0.000, 10.893]], "species": ["Cs", "Cs", "Cs", "Cs", "Al", "Al", "Cr", "Cr", "O", "O", "O", "O", "O", "O", "O", "O"], "frac_coords": [[0.174, 0.000, 0.652], [0.826, 0.000, 0.348], [0.576, 0.500, 0.848], [0.924, 0.500, 0.152], [0.250, 0.500, 0.500], [0.500, 0.000, 0.000], [0.750, 0.500, 0.500], [0.000, 0.000, 0.000], [0.303, 0.847, 0.081], [0.232, 0.153, 0.919], [0.850, 0.847, 0.919], [0.616, 0.153, 0.081], [0.447, 0.653, 0.419], [0.518, 0.347, 0.581], [0.900, 0.653, 0.581], [0.134, 0.347, 0.419]], "e_tot_ev_per_atom": -6.071, "space_group": "Fddd, No. 70", "vol_a3_per_cell": 360}